A plane-wave DFT calculation with PBE was carried out for a relaxed PAuC2 crystal.

The total energy comes out at -6.009 eV per atom. As for the volume: 152 Å³/cell. As for the formation energy: 0.775 eV/atom. The spin magnetization is 0.000 μB per atom.

It has space group Cm (No. 8), with a = 8.1992 Å, b = 4.5015 Å, c = 4.1580 Å, α = 90.00°, β = 97.56° and γ = 90.00°. The inequivalent atoms are P at (0.0000, 0.0000, 0.0000), Au at (0.3984, 0.0000, 0.9513), C at (0.1128, 0.0000, 0.3849) and C at (0.1343, 0.0000, 0.6907).

A plane-wave DFT calculation with PBE was carried out for a relaxed Rb3TeF crystal.

The total energy comes out at -3.195 eV per atom. As for the volume: 386 Å³/cell. As for the energy above the most stable polymorph in this dataset: 68 meV per atom. The spin magnetization is 0.000 μB per atom. As for the formation energy without anion corrections: -1612 meV/atom.

It has space group Pmma (No. 51), with a = 7.8747 Å, b = 5.7606 Å, c = 8.5127 Å, α = 90.00°, β = 90.00° and γ = 90.00°. The inequivalent atoms are Rb at (0.0000, 0.0000, 0.0000), Rb at (0.2500, 0.0000, 0.4448), Rb at (0.2500, 0.5000, 0.7702), Te at (0.2500, 0.5000, 0.2086) and F at (0.2500, 0.0000, 0.7597).

A plane-wave DFT calculation with PBE was carried out for a relaxed LaBe2Pd crystal.

The total energy comes out at -4.534 eV per atom. As for the volume: 311 Å³/cell. As for the energy above the most stable polymorph in this dataset: 209 meV per atom. As for the formation energy: -0.141 eV/atom. The spin magnetization is 0.000 μB per atom.

It has space group I4_1/amd (No. 141, origin choice 2), with a = 4.3836 Å, b = 4.3836 Å, c = 16.2056 Å, α = 90.00°, β = 90.00° and γ = 90.00°. The inequivalent atoms are La at (0.0000, 0.2500, 0.3750), Be at (0.0000, 0.0000, 0.0000) and Pd at (0.0000, 0.2500, 0.8750).

A plane-wave DFT calculation with PBE was carried out for a relaxed YHoZr crystal.

The total energy comes out at -6.396 eV per atom. As for the volume: 84 Å³/cell. As for the energy above the most stable polymorph in this dataset: 55 meV per atom. As for the formation energy: 0.134 eV/atom. The spin magnetization is 0.240 μB per atom.

It has space group P-6m2 (No. 187), with a = 5.3686 Å, b = 5.3686 Å, c = 3.3835 Å, α = 90.00°, β = 90.00° and γ = 120.00°. The inequivalent atoms are Y at (0.0000, 0.0000, 0.0000), Ho at (0.6667, 0.3333, 0.5000) and Zr at (0.3333, 0.6667, 0.0000).

A plane-wave DFT calculation with PBE was carried out for a relaxed CuH3Pd crystal.

The total energy comes out at -3.799 eV per atom. As for the volume: 85 Å³/cell. As for the energy above the most stable polymorph in this dataset: 0 meV per atom. The spin magnetization is 0.000 μB per atom.

It has space group P-1 (No. 2), with a = 4.4988 Å, b = 4.5305 Å, c = 4.8059 Å, α = 72.51°, β = 68.00° and γ = 73.35°. The inequivalent atoms are Cu at (0.0229, 0.3001, 0.3340), H at (0.0268, 0.6946, 0.2800), H at (0.3589, 0.8062, 0.5534), H at (0.3891, 0.2499, 0.0321) and Pd at (0.3144, 0.0518, 0.8004).

A plane-wave DFT calculation with PBE was carried out for a relaxed PaCrSe3 crystal.

The total energy comes out at -6.821 eV per atom. As for the volume: 238 Å³/cell. As for the energy above the most stable polymorph in this dataset: 0 meV per atom. The spin magnetization is 0.998 μB per atom. As for the formation energy without anion corrections: -906 meV/atom.

It has space group P-1 (No. 2), with a = 4.0173 Å, b = 7.1040 Å, c = 8.9557 Å, α = 90.17°, β = 102.95° and γ = 106.40°. The inequivalent atoms are Pa at (0.1706, 0.0741, 0.2666), Cr at (0.3648, 0.5617, 0.1708), Se at (0.1123, 0.2571, 0.9651), Se at (0.1631, 0.6310, 0.6950) and Se at (0.3895, 0.1710, 0.6083).

A plane-wave DFT calculation with PBE was carried out for a relaxed Al2AsSe crystal.

The total energy comes out at -3.613 eV per atom. As for the volume: 307 Å³/cell. As for the energy above the most stable polymorph in this dataset: 696 meV per atom. The spin magnetization is 0.000 μB per atom. As for the formation energy without anion corrections: 292 meV/atom.

It has space group F-43m (No. 216), with a = 6.7432 Å, b = 6.7432 Å, c = 6.7432 Å, α = 90.00°, β = 90.00° and γ = 90.00°. The inequivalent atoms are Al at (0.0000, 0.0000, 0.0000), Al at (0.2500, 0.2500, 0.2500), As at (0.0000, 0.0000, 0.5000) and Se at (0.2500, 0.2500, 0.7500).

A plane-wave DFT calculation with PBE was carried out for a relaxed Ce2TeS2 crystal.

The total energy comes out at -6.270 eV per atom. As for the volume: 290 Å³/cell. As for the energy above the most stable polymorph in this dataset: 188 meV per atom. The spin magnetization is 0.401 μB per atom. As for the formation energy without anion corrections: -1617 meV/atom.

It has space group C2/m (No. 12), with a = 6.5853 Å, b = 6.3949 Å, c = 7.2536 Å, α = 90.00°, β = 108.30° and γ = 90.00°. The inequivalent atoms are Ce at (0.1839, 0.0000, 0.2789), Te at (0.0000, 0.5000, 0.0000) and S at (0.0000, 0.2449, 0.5000).

A plane-wave DFT calculation with PBE was carried out for a relaxed Cs2Cu2Au crystal.

The total energy comes out at -2.454 eV per atom. As for the volume: 354 Å³/cell. As for the energy above the most stable polymorph in this dataset: 0 meV per atom. As for the formation energy: 0.181 eV/atom. The spin magnetization is 0.000 μB per atom.

It has space group I4/mmm (No. 139), with a = 6.8380 Å, b = 6.8380 Å, c = 7.5702 Å, α = 90.00°, β = 90.00° and γ = 90.00°. The inequivalent atoms are Cs at (0.0000, 0.5000, 0.2500), Cu at (0.0000, 0.0000, 0.1584) and Au at (0.0000, 0.0000, 0.5000).

A plane-wave DFT calculation with PBE was carried out for a relaxed LaFe2Cu crystal.

The total energy comes out at -6.063 eV per atom. As for the volume: 136 Å³/cell. As for the formation energy: 0.424 eV/atom. The spin magnetization is 1.092 μB per atom.

It has space group I4/mmm (No. 139), with a = 4.0139 Å, b = 4.0139 Å, c = 8.4318 Å, α = 90.00°, β = 90.00° and γ = 90.00°. The inequivalent atoms are La at (0.0000, 0.0000, 0.0000), Fe at (0.0000, 0.5000, 0.2500) and Cu at (0.0000, 0.0000, 0.5000).

A plane-wave DFT calculation with PBE was carried out for a relaxed InSnN2O crystal.

The total energy comes out at -5.010 eV per atom. As for the volume: 75 Å³/cell. The spin magnetization is 0.304 μB per atom. As for the formation energy without anion corrections: 660 meV/atom.

It has space group P4/mmm (No. 123), with a = 4.2552 Å, b = 4.2552 Å, c = 4.1534 Å, α = 90.00°, β = 90.00° and γ = 90.00°. The inequivalent atoms are In at (0.0000, 0.0000, 0.0000), Sn at (0.5000, 0.5000, 0.5000), N at (0.0000, 0.5000, 0.5000) and O at (0.5000, 0.5000, 0.0000).

A plane-wave DFT calculation with PBE was carried out for a relaxed Pu4Pb3S8 crystal.

The total energy comes out at -7.950 eV per atom. As for the volume: 785 Å³/cell. The spin magnetization is 1.467 μB per atom. As for the formation energy without anion corrections: -1185 meV/atom.

It has space group C2/m (No. 12), with a = 11.5998 Å, b = 11.6171 Å, c = 8.1819 Å, α = 90.00°, β = 134.58° and γ = 90.00°. The inequivalent atoms are Pu at (0.0000, 0.0000, 0.0000), Pu at (0.0000, 0.0000, 0.5000), Pu at (0.2500, 0.2500, 0.0000), Pb at (0.0000, 0.5000, 0.5000), Pb at (0.2500, 0.2500, 0.5000), S at (0.0000, 0.2395, 0.0000), S at (0.0000, 0.2407, 0.5000), S at (0.2279, 0.0000, 0.4749) and S at (0.2299, 0.0000, 0.9792).

A plane-wave DFT calculation with PBE was carried out for a relaxed Nd3Tm2Mg2 crystal.

The total energy comes out at -3.743 eV per atom. As for the volume: 434 Å³/cell. As for the formation energy: 0.034 eV/atom. The spin magnetization is 0.056 μB per atom.

It has space group Cmmm (No. 65), with a = 5.3192 Å, b = 23.3714 Å, c = 3.4935 Å, α = 90.00°, β = 90.00° and γ = 90.00°. The inequivalent atoms are Nd at (0.0000, 0.0000, 0.0000), Nd at (0.0000, 0.1512, 0.0000), Tm at (0.0000, 0.2877, 0.5000) and Mg at (0.0000, 0.4301, 0.5000).

A plane-wave DFT calculation with PBE was carried out for a relaxed BaHgPdPb2 crystal.

The total energy comes out at -3.208 eV per atom. As for the volume: 178 Å³/cell. As for the energy above the most stable polymorph in this dataset: 10 meV per atom. As for the formation energy: -0.241 eV/atom. The spin magnetization is 0.000 μB per atom.

It has space group P4mm (No. 99), with a = 5.3454 Å, b = 5.3454 Å, c = 6.2324 Å, α = 90.00°, β = 90.00° and γ = 90.00°. The inequivalent atoms are Ba at (0.0000, 0.0000, 0.0000), Hg at (0.5000, 0.5000, 0.1296), Pd at (0.0000, 0.0000, 0.5255) and Pb at (0.0000, 0.5000, 0.4299).

A plane-wave DFT calculation with PBE was carried out for a relaxed ScTl2HgTe4 crystal.

The total energy comes out at -3.480 eV per atom. As for the volume: 256 Å³/cell. The spin magnetization is 0.000 μB per atom. As for the formation energy without anion corrections: -488 meV/atom.

It has space group P2/m (No. 10), with a = 7.8468 Å, b = 4.3080 Å, c = 8.0679 Å, α = 90.00°, β = 109.95° and γ = 90.00°. The inequivalent atoms are Sc at (0.0000, 0.0000, 0.0000), Tl at (0.0000, 0.5000, 0.5000), Tl at (0.5000, 0.0000, 0.5000), Hg at (0.5000, 0.5000, 0.0000), Te at (0.2173, 0.5000, 0.2185) and Te at (0.2519, 0.0000, 0.7884).

A plane-wave DFT calculation with PBE was carried out for a relaxed Sb3OsC crystal.

The total energy comes out at -4.705 eV per atom. As for the volume: 135 Å³/cell. As for the energy above the most stable polymorph in this dataset: 477 meV per atom. The spin magnetization is 0.128 μB per atom. As for the formation energy without anion corrections: 1860 meV/atom.

It has space group Pm-3m (No. 221), with a = 5.1296 Å, b = 5.1296 Å, c = 5.1296 Å, α = 90.00°, β = 90.00° and γ = 90.00°. The inequivalent atoms are Sb at (0.0000, 0.0000, 0.5000), Os at (0.0000, 0.0000, 0.0000) and C at (0.5000, 0.5000, 0.5000).

A plane-wave DFT calculation with PBE was carried out for a relaxed Ir2RuW crystal.

The total energy comes out at -8.991 eV per atom. As for the volume: 351 Å³/cell. As for the energy above the most stable polymorph in this dataset: 1263 meV per atom. As for the formation energy: 0.997 eV/atom. The spin magnetization is 0.000 μB per atom.

It has space group I-42d (No. 122), with a = 5.5593 Å, b = 5.5593 Å, c = 11.3609 Å, α = 90.00°, β = 90.00° and γ = 90.00°. The inequivalent atoms are Ir at (0.2417, 0.2500, 0.1250), Ru at (0.0000, 0.0000, 0.0000) and W at (0.0000, 0.0000, 0.5000).

A plane-wave DFT calculation with PBE was carried out for a relaxed NdDy3Zn4 crystal.

The total energy comes out at -3.287 eV per atom. As for the volume: 186 Å³/cell. As for the formation energy: -0.329 eV/atom. The spin magnetization is 0.000 μB per atom.

It has space group P4/mmm (No. 123), with a = 5.0660 Å, b = 5.0660 Å, c = 7.2477 Å, α = 90.00°, β = 90.00° and γ = 90.00°. The inequivalent atoms are Nd at (0.0000, 0.0000, 0.0000), Dy at (0.0000, 0.0000, 0.5000), Dy at (0.5000, 0.5000, 0.0000), Dy at (0.5000, 0.5000, 0.5000) and Zn at (0.0000, 0.5000, 0.2585).

A plane-wave DFT calculation with PBE was carried out for a relaxed Ba2Li5Au12 crystal.

The total energy comes out at -3.287 eV per atom. As for the volume: 1137 Å³/cell. As for the formation energy: -0.511 eV/atom. The spin magnetization is 0.000 μB per atom.

It has space group R-3m (No. 166, hexagonal axes), with a = 9.6811 Å, b = 9.6811 Å, c = 14.0106 Å, α = 90.00°, β = 90.00° and γ = 120.00°. The inequivalent atoms are Ba at (0.0000, 0.0000, 0.1468), Li at (0.0000, 0.0000, 0.4091), Li at (0.0000, 0.5000, 0.0000), Au at (0.0000, 0.2965, 0.5000) and Au at (0.0235, 0.5118, 0.3464).

A plane-wave DFT calculation with PBE was carried out for a relaxed NdSmAu2 crystal.

The total energy comes out at -4.678 eV per atom. As for the volume: 340 Å³/cell. As for the formation energy: -0.668 eV/atom. The spin magnetization is 0.000 μB per atom.

It has space group R-3m (No. 166, hexagonal axes), with a = 4.1799 Å, b = 4.1799 Å, c = 22.4853 Å, α = 90.00°, β = 90.00° and γ = 120.00°. The inequivalent atoms are Nd at (0.0000, 0.0000, 0.0000), Sm at (0.0000, 0.0000, 0.5000) and Au at (0.0000, 0.0000, 0.2485).